Here is an optimized crystal structure of Rb3Co2PbF9 from the Alexandria database. Energies are from PBE with a Hubbard U.

Geometry as CIF:
```
data_Rb3Co2PbF9
_chemical_formula_sum 'Rb3 Co2 Pb1 F9'
_cell_length_a 6.1565
_cell_length_b 6.1565
_cell_length_c 7.7088
_cell_angle_alpha 90.00
_cell_angle_beta 90.00
_cell_angle_gamma 120.00
_symmetry_space_group_name_H-M 'P -3 m 1'
_symmetry_Int_Tables_number 164
_symmetry_space_group_name_Hall '-P 3 2"'
loop_
_atom_site_label
_atom_site_type_symbol
_atom_site_fract_x
_atom_site_fract_y
_atom_site_fract_z
Rb1 Rb 0.0000 0.0000 0.0000
Rb2 Rb 0.3333 0.6667 0.6867
Co1 Co 0.3333 0.6667 0.1472
Pb1 Pb 0.0000 0.0000 0.5000
F1 F 0.0000 0.5000 0.0000
F2 F 0.1787 0.3573 0.3055
```

- volume (Å³/cell) = 253.04
- M_tot (Bohr magnetons per cell) = 6.000
- VASP energy (eV per atom) = -4.59

***

Here is an optimized crystal structure of RbCoPb2F8 from the Alexandria database. Energies are from PBE with a Hubbard U.

Geometry as CIF:
```
data_RbCoPb2F8
_chemical_formula_sum 'Rb1 Co1 Pb2 F8'
_cell_length_a 5.3298
_cell_length_b 5.5358
_cell_length_c 7.3476
_cell_angle_alpha 71.27
_cell_angle_beta 87.57
_cell_angle_gamma 82.63
_symmetry_space_group_name_H-M 'P -1'
_symmetry_Int_Tables_number 2
_symmetry_space_group_name_Hall '-P 1'
loop_
_atom_site_label
_atom_site_type_symbol
_atom_site_fract_x
_atom_site_fract_y
_atom_site_fract_z
Rb1 Rb 0.0000 0.0000 0.0000
Co1 Co 0.0000 0.0000 0.5000
Pb1 Pb 0.4764 0.3783 0.2808
F1 F 0.0253 0.2861 0.2764
F2 F 0.2163 0.7859 0.3938
F3 F 0.2775 0.0707 0.6119
F4 F 0.4753 0.2614 0.0060
```

- volume (Å³/cell) = 203.62
- M_tot (Bohr magnetons per cell) = 0.001
- VASP energy (eV per atom) = -4.64

***

Here is an optimized crystal structure of Rb2CoPbF from the Alexandria database. Energies are from PBE with a Hubbard U.

Geometry as CIF:
```
data_Rb2CoPbF
_chemical_formula_sum 'Rb2 Co1 Pb1 F1'
_cell_length_a 6.6910
_cell_length_b 6.6910
_cell_length_c 4.9569
_cell_angle_alpha 90.00
_cell_angle_beta 90.00
_cell_angle_gamma 90.00
_symmetry_space_group_name_H-M 'P 4/m m m'
_symmetry_Int_Tables_number 123
_symmetry_space_group_name_Hall '-P 4 2'
loop_
_atom_site_label
_atom_site_type_symbol
_atom_site_fract_x
_atom_site_fract_y
_atom_site_fract_z
Rb1 Rb 0.0000 0.5000 0.0000
Co1 Co 0.0000 0.0000 0.5000
Pb1 Pb 0.0000 0.0000 0.0000
F1 F 0.5000 0.5000 0.5000
```

- volume (Å³/cell) = 221.92
- M_tot (Bohr magnetons per cell) = 1.996
- VASP energy (eV per atom) = -2.65

***

Here is an optimized crystal structure of RbCo2PbF8 from the Alexandria database. Energies are from PBE with a Hubbard U.

Geometry as CIF:
```
data_RbCo2PbF8
_chemical_formula_sum 'Rb1 Co2 Pb1 F8'
_cell_length_a 5.3272
_cell_length_b 5.5274
_cell_length_c 6.7039
_cell_angle_alpha 89.23
_cell_angle_beta 89.26
_cell_angle_gamma 89.28
_symmetry_space_group_name_H-M 'P -1'
_symmetry_Int_Tables_number 2
_symmetry_space_group_name_Hall '-P 1'
loop_
_atom_site_label
_atom_site_type_symbol
_atom_site_fract_x
_atom_site_fract_y
_atom_site_fract_z
Rb1 Rb 0.0000 0.0000 0.0000
Co1 Co 0.4997 0.4991 0.7522
Pb1 Pb 0.0000 0.0000 0.5000
F1 F 0.2683 0.7611 0.7292
F2 F 0.2735 0.7661 0.2703
F3 F 0.3106 0.3424 0.5027
F4 F 0.3235 0.3607 0.0056
```

- volume (Å³/cell) = 197.35
- M_tot (Bohr magnetons per cell) = 7.000
- VASP energy (eV per atom) = -4.65

***

What is the M_tot in the second record?
0.001 Bohr magnetons per cell

***

Which of these has the lowest VASP energy?
RbCo2PbF8

***

Please write out number 2 again, unchanged.
Here is an optimized crystal structure of RbCoPb2F8 from the Alexandria database. Energies are from PBE with a Hubbard U.

Geometry as CIF:
```
data_RbCoPb2F8
_chemical_formula_sum 'Rb1 Co1 Pb2 F8'
_cell_length_a 5.3298
_cell_length_b 5.5358
_cell_length_c 7.3476
_cell_angle_alpha 71.27
_cell_angle_beta 87.57
_cell_angle_gamma 82.63
_symmetry_space_group_name_H-M 'P -1'
_symmetry_Int_Tables_number 2
_symmetry_space_group_name_Hall '-P 1'
loop_
_atom_site_label
_atom_site_type_symbol
_atom_site_fract_x
_atom_site_fract_y
_atom_site_fract_z
Rb1 Rb 0.0000 0.0000 0.0000
Co1 Co 0.0000 0.0000 0.5000
Pb1 Pb 0.4764 0.3783 0.2808
F1 F 0.0253 0.2861 0.2764
F2 F 0.2163 0.7859 0.3938
F3 F 0.2775 0.0707 0.6119
F4 F 0.4753 0.2614 0.0060
```

- volume (Å³/cell) = 203.62
- M_tot (Bohr magnetons per cell) = 0.001
- VASP energy (eV per atom) = -4.64